Tl5AsSe5: optimized geometry, PBE.

abc: 6.1765 7.2271 8.7875
angles: 102.04 90.00 115.30
Closest atoms and distances in Å follow each position.
Atoms (fractional coordinates):
1 Tl 0.6621 0.3242 0.3460  4 Se 3.15-3.28
2 Tl 0.6829 0.3659 0.8758  5 Se 2.82-3.13
3 Tl 0.0000 0.0000 0.5000  4 Se 3.07-3.13
4 Tl 0.3171 0.6341 0.1242  5 Se 2.82-3.13
5 Tl 0.3379 0.6758 0.6540  4 Se 3.15-3.28
6 As 0.0000 0.0000 0.0000  4 Se 2.72-2.73
7 Se 0.8483 0.6966 0.1667  1 As 2.72, 1 Tl 2.94
8 Se 0.8518 0.7036 0.7251  1 As 2.73, 1 Tl 2.82
9 Se 0.5000 0.0000 0.0000  2 Tl 2.85, 2 As 3.09
10 Se 0.1482 0.2964 0.2749  1 As 2.73, 1 Tl 2.82
11 Se 0.1517 0.3034 0.8333  1 As 2.72, 1 Tl 2.94

Output
Raw formation energy   -0.197 eV per atom
Density of states at the Fermi level   3.2 states/eV/cell
Space-group type   No. 12

Tl2AsSe: optimized geometry, PBE.

abc: 4.9723 5.1377 6.1097
angles: 51.40 90.00 90.00
Closest atoms and distances in Å follow each position.
Atoms (fractional coordinates):
1 Tl 0.0000 0.9654 0.9657  3 As 3.11-3.23, 2 Se 3.30
2 Tl 0.5000 0.2878 0.2835  3 Se 3.14-3.21, 2 As 3.32
3 As 0.0000 0.7394 0.5770  2 Se 2.66
4 Se 0.5000 0.5074 0.6738  2 As 2.66

Output
Raw formation energy   -0.058 eV per atom
Density of states at the Fermi level   0.8 states/eV/cell
Space-group type   No. 6
Energy above the lowest structure with this stoichiometry   0.00 eV/f.u.

Tl2AsSe3: optimized geometry, PBE.

abc: 6.2340 8.3160 7.4707
angles: 105.91 114.66 90.00
Closest atoms and distances in Å follow each position.
Atoms (fractional coordinates):
1 Tl 0.6823 0.5905 0.3588  6 Se 3.12-3.17
2 Tl 0.6765 0.0905 0.3588  6 Se 3.12-3.17
3 Tl 0.3235 0.9095 0.6412  6 Se 3.12-3.17
4 Tl 0.3177 0.4095 0.6412  6 Se 3.12-3.17
5 As 0.9412 0.7500 0.0000  1 Se 2.43
6 As 0.0588 0.2500 0.0000  1 Se 2.43
7 Se 0.4484 0.2500 0.0000  1 As 2.43
8 Se 0.5516 0.7500 0.0000  1 As 2.43
9 Se 0.1397 0.0694 0.2800  2 As 2.78
10 Se 0.8598 0.4306 0.7200  2 As 2.78
11 Se 0.1402 0.5694 0.2800  2 As 2.78
12 Se 0.8603 0.9306 0.7200  2 As 2.78

Output
Raw formation energy   -0.210 eV per atom
Density of states at the Fermi level   6.6 states/eV/cell
Space-group type   No. 15
Energy above the lowest structure with this stoichiometry   0.00 eV/f.u.

TlAs2Se: optimized geometry, PBE.

abc: 5.0188 5.0188 5.0188
angles: 60.00 60.00 60.00
Closest atoms and distances in Å follow each position.
Atoms (fractional coordinates):
1 Tl 0.5000 0.5000 0.5000  8 As 3.07
2 As 0.2500 0.2500 0.2500  4 Tl 3.07, 4 Se 3.07
3 As 0.7500 0.7500 0.7500  4 Tl 3.07, 4 Se 3.07
4 Se 0.0000 0.0000 0.0000  8 As 3.07

Output
Raw formation energy   0.459 eV per atom
Density of states at the Fermi level   2.7 states/eV/cell
Space-group type   No. 225
Energy above the lowest structure with this stoichiometry   1.93 eV/f.u.

Tl2As3Se8: optimized geometry, PBE.

abc: 6.7742 7.9795 8.8128
angles: 116.92 120.51 90.00
Closest atoms and distances in Å follow each position.
Atoms (fractional coordinates):
1 Tl 0.2851 0.3420 0.6840  4 Se 2.68-2.89
2 Tl 0.7149 0.6580 0.3160  4 Se 2.68-2.89
3 As 0.5000 0.0000 0.0000  6 Se 2.70
4 As 0.0000 0.2574 0.0000  6 Se 2.65-2.81
5 As 0.0000 0.7426 0.0000  6 Se 2.65-2.81
6 Se 0.0735 0.6301 0.2602  2 As 2.65, 1 Tl 2.70
7 Se 0.9265 0.3699 0.7398  2 As 2.65, 1 Tl 2.70
8 Se 0.9844 0.1185 0.2370  3 As 2.70-2.81, 1 Tl 2.89
9 Se 0.0156 0.8815 0.7630  3 As 2.70-2.81, 1 Tl 2.89
10 Se 0.5192 0.6596 0.7421  1 Tl 2.68, 2 As 2.70-2.71
11 Se 0.5192 0.0825 0.7421  1 Tl 2.68, 2 As 2.70-2.71
12 Se 0.4808 0.9175 0.2579  1 Tl 2.68, 2 As 2.70-2.71
13 Se 0.4808 0.3404 0.2579  1 Tl 2.68, 2 As 2.70-2.71

Output
Raw formation energy   -0.035 eV per atom
Density of states at the Fermi level   8.4 states/eV/cell
Space-group type   No. 12

TlAs6Se8: optimized geometry, PBE.

abc: 7.5157 7.5157 7.5157
angles: 83.84 83.84 83.84
Closest atoms and distances in Å follow each position.
Atoms (fractional coordinates):
1 Tl 0.0000 0.0000 0.0000  6 Se 3.40
2 As 0.6378 0.3929 0.7762  3 Se 2.44-2.68
3 As 0.3929 0.7762 0.6378  3 Se 2.44-2.68
4 As 0.7762 0.6378 0.3929  3 Se 2.44-2.68
5 As 0.3622 0.6071 0.2238  3 Se 2.44-2.68
6 As 0.6071 0.2238 0.3622  3 Se 2.44-2.68
7 As 0.2238 0.3622 0.6071  3 Se 2.44-2.68
8 Se 0.7199 0.7199 0.7199  3 As 2.58
9 Se 0.2801 0.2801 0.2801  3 As 2.58
10 Se 0.6102 0.8991 0.2438  2 As 2.44-2.68
11 Se 0.8991 0.2438 0.6102  2 As 2.44-2.68
12 Se 0.2438 0.6102 0.8991  2 As 2.44-2.68
13 Se 0.3898 0.1009 0.7562  2 As 2.44-2.68
14 Se 0.1009 0.7562 0.3898  2 As 2.44-2.68
15 Se 0.7562 0.3898 0.1009  2 As 2.44-2.68

Output
Raw formation energy   0.022 eV per atom
Density of states at the Fermi level   4.3 states/eV/cell
Space-group type   No. 148

Tl2AsSe: optimized geometry, PBE.

abc: 5.2655 5.2655 5.2655
angles: 60.00 60.00 60.00
Closest atoms and distances in Å follow each position.
Atoms (fractional coordinates):
1 Tl 0.2500 0.2500 0.2500  4 As 3.22, 4 Se 3.22
2 Tl 0.7500 0.7500 0.7500  4 As 3.22, 4 Se 3.22
3 As 0.0000 0.0000 0.0000  8 Tl 3.22
4 Se 0.5000 0.5000 0.5000  8 Tl 3.22

Output
Raw formation energy   0.155 eV per atom
Density of states at the Fermi level   3.5 states/eV/cell
Space-group type   No. 225
Energy above the lowest structure with this stoichiometry   0.85 eV/f.u.

Tl4As3Se: optimized geometry, PBE.

abc: 6.4558 6.4562 7.8949
angles: 65.85 65.86 89.98
Closest atoms and distances in Å follow each position.
Atoms (fractional coordinates):
1 Tl 0.0024 0.0039 0.0064  3 As 2.76-2.77, 1 Se 2.88
2 Tl 0.4870 0.4887 0.0066  3 As 2.76-2.77, 1 Se 2.88
3 Tl 0.2609 0.7447 0.4904  3 As 2.76-2.77, 1 Se 2.88
4 Tl 0.7453 0.2597 0.4909  3 As 2.76-2.77, 1 Se 2.88
5 As 0.3746 0.3741 0.7487  4 Tl 2.77
6 As 0.1230 0.6244 0.2488  4 Tl 2.76-2.77
7 As 0.6232 0.1244 0.2486  4 Tl 2.76-2.77
8 Se 0.8747 0.8739 0.7487  4 Tl 2.88

Output
Raw formation energy   0.037 eV per atom
Density of states at the Fermi level   3.1 states/eV/cell
Space-group type   No. 5